<a>
# TaOs2Rh (PBEsol, optimized geometry)
data_TaOs2Rh
_chemical_formula_sum 'Ta2 Os4 Rh2'
_symmetry_space_group_name_H-M 'I -4 m 2'
_symmetry_Int_Tables_number 119
_symmetry_space_group_name_Hall 'I -4 -2'
_cell_length_a 3.889
_cell_length_b 3.889
_cell_length_c 7.722
_cell_angle_alpha 90.00
_cell_angle_beta 90.00
_cell_angle_gamma 90.00
loop_
_atom_site_label
_atom_site_fract_x
_atom_site_fract_y
_atom_site_fract_z
Ta1 0.000 0.000 0.000
Os1 0.000 0.000 0.500
Os2 0.000 0.500 0.250
Rh1 0.000 0.500 0.750
# Crystal system ... tetragonal

***

<b>
# TaOs2Rh (PBEsol, optimized geometry)
data_TaOs2Rh
_chemical_formula_sum 'Ta1 Os2 Rh1'
_symmetry_space_group_name_H-M 'P 1 2/m 1'
_symmetry_Int_Tables_number 10
_cell_length_a 4.711
_cell_length_b 2.767
_cell_length_c 4.728
_cell_angle_alpha 90.00
_cell_angle_beta 108.74
_cell_angle_gamma 90.00
loop_
_symmetry_equiv_pos_as_xyz
'x,y,z'
'-x,-y,-z'
'-x,y,-z'
'x,-y,z'
loop_
_atom_site_label
_atom_site_fract_x
_atom_site_fract_y
_atom_site_fract_z
Ta1 0.000 0.000 0.000
Os1 0.500 0.000 0.500
Os2 0.500 0.500 0.000
Rh1 0.000 0.500 0.500
# Crystal system ... monoclinic

***

<a> (53 meV per atom below the next structure)

***

<a>
# TcOs2Rh (PBEsol, optimized geometry)
data_TcOs2Rh
_chemical_formula_sum 'Tc1 Os2 Rh1'
_symmetry_space_group_name_H-M 'P 4/m m m'
_symmetry_Int_Tables_number 123
_symmetry_space_group_name_Hall '-P 4 2'
_cell_length_a 3.809
_cell_length_b 3.809
_cell_length_c 3.803
_cell_angle_alpha 90.00
_cell_angle_beta 90.00
_cell_angle_gamma 90.00
loop_
_atom_site_label
_atom_site_fract_x
_atom_site_fract_y
_atom_site_fract_z
Tc1 0.000 0.000 0.000
Os1 0.000 0.500 0.500
Rh1 0.500 0.500 0.000
# Crystal system ... tetragonal

***

<b>
# TcOs2Rh (PBEsol, optimized geometry)
data_TcOs2Rh
_chemical_formula_sum 'Tc2 Os4 Rh2'
_symmetry_space_group_name_H-M 'C m m m'
_symmetry_Int_Tables_number 65
_symmetry_space_group_name_Hall '-C 2 2'
_cell_length_a 5.388
_cell_length_b 7.613
_cell_length_c 2.694
_cell_angle_alpha 90.00
_cell_angle_beta 90.00
_cell_angle_gamma 90.00
loop_
_atom_site_label
_atom_site_fract_x
_atom_site_fract_y
_atom_site_fract_z
Tc1 0.000 0.000 0.000
Os1 0.250 0.250 0.500
Rh1 0.000 0.500 0.000
# Crystal system ... orthorhombic

***

<a> (30 meV per atom below the next structure)